[1]
# SmCd6Pb, relaxed, DFT GGA-PBE
data_SmCd6Pb
_space_group_name_H-M_alt 'A m m 2'
_space_group_IT_number 38
_space_group_name_Hall 'A 2 -2'
_cell_length_a 4.907
_cell_length_b 7.696
_cell_length_c 10.547
_cell_angle_alpha 90.00
_cell_angle_beta 90.00
_cell_angle_gamma 90.00
loop_
_atom_site_label
_atom_site_type_symbol
_atom_site_fract_x
_atom_site_fract_y
_atom_site_fract_z
_atom_site_occupancy
Sm1 Sm 0.000 0.000 0.000 1
Cd1 Cd 0.000 0.000 0.448 1
Cd2 Cd 0.000 0.201 0.718 1
Cd3 Cd 0.500 0.000 0.804 1
Cd4 Cd 0.500 0.207 0.513 1
Pb1 Pb 0.500 0.000 0.231 1
# energy of formation	-101	kJ/mol of formula units
# spin magnetization	0.00	μB/cell
# total DFT energy (no corrections)	-1.871	eV per atom

---

[2]
# Sm3CdPb2, relaxed, DFT GGA-PBE
data_Sm3CdPb2
_space_group_name_H-M_alt 'C 1 2/c 1'
_space_group_IT_number 15
_space_group_name_Hall '-C 2yc'
_cell_length_a 16.894
_cell_length_b 6.525
_cell_length_c 6.539
_cell_angle_alpha 90.00
_cell_angle_beta 103.22
_cell_angle_gamma 90.00
loop_
_atom_site_label
_atom_site_type_symbol
_atom_site_fract_x
_atom_site_fract_y
_atom_site_fract_z
_atom_site_occupancy
Sm1 Sm 0.000 0.148 0.250 1
Sm2 Sm 0.171 0.392 0.601 1
Cd1 Cd 0.000 0.367 0.750 1
Pb1 Pb 0.158 0.106 0.053 1
# energy of formation	-231	kJ/mol of formula units
# spin magnetization	0.00	μB/cell
# total DFT energy (no corrections)	-4.147	eV per atom